Tb3P2Rh5Au2 after structural relaxation, computed with PBE.

The structure in POSCAR format:
```
Tb3P2Rh5Au2
1.0
-2.0137 2.0137 13.2678
2.0137 -2.0137 13.2678
2.0137 2.0137 -13.2678
Tb P Rh Au
3 2 5 2
Cartesian
0.0000 0.0000 0.0000 Tb
0.0000 0.0000 4.3379 Tb
0.0000 0.0000 22.1977 Tb
0.0000 0.0000 9.9637 P
0.0000 0.0000 16.5718 P
2.0137 0.0000 2.1602 Rh
2.0137 0.0000 11.1076 Rh
0.0000 0.0000 13.2678 Rh
0.0000 2.0137 2.1602 Rh
0.0000 2.0137 11.1076 Rh
0.0000 0.0000 7.3422 Au
0.0000 0.0000 19.1933 Au
```

Properties
**Formation energy from the elements**: -11.4 eV/f.u.
**Density**: 11.166 g/cm³
**Symmetry**: I4/mmm
**Uncorrected energy**: -6.62 eV/atom